TlHgPd2W | Alexandria | PBEsol | optimized geometry; total energy = -19.5 eV for the cell shown; SG = No. 123; formation energy = 1888 meV per atom; M_tot = 3.788 μB per formula unit
1.0
4.9368 0.0000 0.0000
0.0000 4.9368 0.0000
0.0000 0.0000 5.0808
Tl Hg Pd W
1 1 2 1
Direct
0.0000 0.0000 0.0000
0.0000 0.0000 0.5000
0.0000 0.5000 0.5000
0.5000 0.0000 0.5000
0.5000 0.5000 0.0000

***

MgOsCl2 | Alexandria | PBEsol | optimized geometry; total energy = -57.0 eV for the cell shown; energy above the most stable polymorph in this dataset = 0.901 eV/atom; SG = No. 216; raw formation energy = 89 kJ/mol of atoms; M_tot = 2.358 μB per formula unit
1.0
6.5741 0.0000 0.0000
0.0000 6.5741 0.0000
0.0000 0.0000 6.5741
Mg Os Cl
4 4 8
Direct
0.0000 0.0000 0.0000
0.0000 0.5000 0.5000
0.5000 0.0000 0.5000
0.5000 0.5000 0.0000
0.2500 0.2500 0.7500
0.2500 0.7500 0.2500
0.7500 0.2500 0.2500
0.7500 0.7500 0.7500
0.0000 0.0000 0.5000
0.0000 0.5000 0.0000
0.2500 0.2500 0.2500
0.2500 0.7500 0.7500
0.5000 0.0000 0.0000
0.5000 0.5000 0.5000
0.7500 0.2500 0.7500
0.7500 0.7500 0.2500

***

PrCu2Ge2 | Alexandria | PBEsol | optimized geometry; total energy = -53.3 eV for the cell shown; SG = No. 139; formation energy = -583 meV per atom; M_tot = 0.000 μB per formula unit
1.0
4.1251 0.0000 0.0000
0.0000 4.1251 0.0000
0.0000 0.0000 10.0759
Pr Cu Ge
2 4 4
Direct
0.0000 0.0000 0.0000
0.5000 0.5000 0.5000
0.0000 0.5000 0.2500
0.0000 0.5000 0.7500
0.5000 0.0000 0.2500
0.5000 0.0000 0.7500
0.0000 0.0000 0.3757
0.0000 0.0000 0.6243
0.5000 0.5000 0.1243
0.5000 0.5000 0.8757

***

LaAu5 | Alexandria | PBEsol | optimized geometry; total energy = -54.9 eV for the cell shown; SG = No. 12; formation energy = -418 meV per atom; M_tot = 0.000 μB per formula unit
1.0
8.2046 0.0000 0.0000
0.0000 4.6644 0.0000
-0.4488 0.0000 6.3531
La Au
2 10
Direct
0.0000 0.0000 0.0000
0.5000 0.5000 0.0000
0.0000 0.0000 0.5000
0.1503 0.5000 0.7205
0.1802 0.5000 0.2763
0.3198 0.0000 0.7237
0.3497 0.0000 0.2795
0.5000 0.5000 0.5000
0.6503 0.0000 0.7205
0.6802 0.0000 0.2763
0.8198 0.5000 0.7237
0.8497 0.5000 0.2795

***

TaRuAu2 | Alexandria | PBEsol | optimized geometry; total energy = -90.7 eV for the cell shown; energy above the most stable polymorph in this dataset = 0.176 eV/atom; SG = No. 160; formation energy = 86 meV per atom; M_tot = 0.000 μB per formula unit
1.0
2.8623 0.0000 0.0000
-1.4312 2.4789 0.0000
0.0000 0.0000 27.4790
Ta Ru Au
3 3 6
Direct
0.0000 0.0000 0.0000
0.3333 0.6667 0.6667
0.6667 0.3333 0.3333
0.0000 0.0000 0.2576
0.3333 0.6667 0.9243
0.6667 0.3333 0.5909
0.0000 0.0000 0.5063
0.0000 0.0000 0.7524
0.3333 0.6667 0.1729
0.3333 0.6667 0.4191
0.6667 0.3333 0.0857
0.6667 0.3333 0.8396

***

BaSc2Ni | Alexandria | PBEsol | optimized geometry; total energy = -19.5 eV for the cell shown; energy above the most stable polymorph in this dataset = 0.536 eV/atom; SG = No. 123; formation energy = 495 meV per atom; M_tot = 0.001 μB per formula unit
1.0
4.8848 0.0000 0.0000
0.0000 4.8848 0.0000
0.0000 0.0000 3.7363
Ba Sc Ni
1 2 1
Direct
0.0000 0.0000 0.0000
0.0000 0.5000 0.5000
0.5000 0.0000 0.5000
0.5000 0.5000 0.0000

***

Sr2SbMo | Alexandria | PBEsol | optimized geometry; total energy = -52.6 eV for the cell shown; SG = No. 166; raw formation energy = 59 kJ/mol of atoms; M_tot = 0.400 μB per formula unit
1.0
3.4507 0.0000 0.0000
-1.7254 2.9884 0.0000
0.0000 0.0000 31.6036
Sr Sb Mo
6 3 3
Direct
0.0000 0.0000 0.2460
0.0000 0.0000 0.7540
0.3333 0.6667 0.4207
0.3333 0.6667 0.9127
0.6667 0.3333 0.0873
0.6667 0.3333 0.5793
0.0000 0.0000 0.0000
0.3333 0.6667 0.6667
0.6667 0.3333 0.3333
0.0000 0.0000 0.5000
0.3333 0.6667 0.1667
0.6667 0.3333 0.8333

***

Mn3As | Alexandria | PBEsol | optimized geometry; total energy = -34.4 eV for the cell shown; SG = No. 123; formation energy = -9 meV per atom; M_tot = 2.041 μB per formula unit
1.0
3.9673 0.0000 0.0000
0.0000 3.9673 0.0000
0.0000 0.0000 2.8878
Mn As
3 1
Direct
0.0000 0.0000 0.0000
0.0000 0.5000 0.5000
0.5000 0.0000 0.5000
0.5000 0.5000 0.0000

***

Cs2ZrZn | Alexandria | PBEsol | optimized geometry; total energy = -30.7 eV for the cell shown; SG = No. 225; formation energy = 1221 meV per atom; M_tot = 4.029 μB per formula unit
1.0
8.6938 0.0000 0.0000
0.0000 8.6938 0.0000
0.0000 0.0000 8.6938
Cs Zr Zn
8 4 4
Direct
0.2500 0.2500 0.2500
0.2500 0.2500 0.7500
0.2500 0.7500 0.2500
0.2500 0.7500 0.7500
0.7500 0.2500 0.2500
0.7500 0.2500 0.7500
0.7500 0.7500 0.2500
0.7500 0.7500 0.7500
0.0000 0.0000 0.0000
0.0000 0.5000 0.5000
0.5000 0.0000 0.5000
0.5000 0.5000 0.0000
0.0000 0.0000 0.5000
0.0000 0.5000 0.0000
0.5000 0.0000 0.0000
0.5000 0.5000 0.5000

***

Mn2MoRh | Alexandria | PBEsol | optimized geometry; total energy = -78.7 eV for the cell shown; SG = No. 119; formation energy = 20 meV per atom; M_tot = 0.622 μB per formula unit
1.0
3.6707 0.0000 0.0000
0.0000 3.6707 0.0000
0.0000 0.0000 7.5505
Mn Mo Rh
4 2 2
Direct
0.0000 0.0000 0.0000
0.0000 0.5000 0.2500
0.5000 0.0000 0.7500
0.5000 0.5000 0.5000
0.0000 0.0000 0.5000
0.5000 0.5000 0.0000
0.0000 0.5000 0.7500
0.5000 0.0000 0.2500

***

NbCoB3 | Alexandria | PBEsol | optimized geometry; total energy = -37.0 eV for the cell shown; SG = No. 221; formation energy = 521 meV per atom; M_tot = 0.000 μB per formula unit
1.0
3.6795 0.0000 0.0000
0.0000 3.6795 0.0000
0.0000 0.0000 3.6795
Nb Co B
1 1 3
Direct
0.0000 0.0000 0.0000
0.5000 0.5000 0.5000
0.0000 0.5000 0.5000
0.5000 0.0000 0.5000
0.5000 0.5000 0.0000

***

Mn3Cu2SnP6O24 | Alexandria | PBEsol | optimized geometry; total energy = -268.6 eV for the cell shown; SG = No. 146; raw formation energy = -176 kJ/mol of atoms; M_tot = 9.646 μB per formula unit
1.0
4.2303 2.4424 6.8950
-4.2303 2.4424 6.8950
0.0000 -4.8847 6.8950
Mn Cu Sn P O
3 2 1 6 24
Direct
0.0000 0.0000 0.0000
0.2165 0.2165 0.2165
0.7171 0.7171 0.7171
0.3544 0.3544 0.3544
0.8597 0.8597 0.8597
0.4987 0.4987 0.4987
0.1006 0.8257 0.3958
0.3144 0.6101 0.9051
0.3958 0.1006 0.8257
0.6101 0.9051 0.3144
0.8257 0.3958 0.1006
0.9051 0.3144 0.6101
0.0265 0.8720 0.2409
0.0952 0.3072 0.4340
0.1119 0.7705 0.9388
0.1656 0.9823 0.3628
0.2409 0.0265 0.8720
0.2703 0.6287 0.3977
0.3072 0.4340 0.0952
0.3318 0.5658 0.7411
0.3628 0.1656 0.9823
0.3977 0.2703 0.6287
0.4340 0.0952 0.3072
0.4820 0.6642 0.8624
0.5658 0.7411 0.3318
0.5982 0.9406 0.8010
0.6287 0.3977 0.2703
0.6642 0.8624 0.4820
0.7411 0.3318 0.5658
0.7705 0.9388 0.1119
0.8010 0.5982 0.9406
0.8624 0.4820 0.6642
0.8720 0.2409 0.0265
0.9388 0.1119 0.7705
0.9406 0.8010 0.5982
0.9823 0.3628 0.1656

***

Mn2TlCu | Alexandria | PBEsol | optimized geometry; total energy = -96.4 eV for the cell shown; SG = No. 216; formation energy = 595 meV per atom; M_tot = 6.811 μB per formula unit
1.0
6.2257 0.0000 0.0000
0.0000 6.2257 0.0000
0.0000 0.0000 6.2257
Mn Tl Cu
8 4 4
Direct
0.0000 0.0000 0.0000
0.0000 0.5000 0.5000
0.2500 0.2500 0.2500
0.2500 0.7500 0.7500
0.5000 0.0000 0.5000
0.5000 0.5000 0.0000
0.7500 0.2500 0.7500
0.7500 0.7500 0.2500
0.0000 0.0000 0.5000
0.0000 0.5000 0.0000
0.5000 0.0000 0.0000
0.5000 0.5000 0.5000
0.2500 0.2500 0.7500
0.2500 0.7500 0.2500
0.7500 0.2500 0.2500
0.7500 0.7500 0.7500

***

Ca2CrW | Alexandria | PBEsol | optimized geometry; total energy = -50.6 eV for the cell shown; energy above the most stable polymorph in this dataset = 0.000 eV/atom; SG = No. 44; formation energy = 749 meV per atom; M_tot = 0.008 μB per formula unit
1.0
3.2889 0.0000 0.0000
0.0000 5.3520 0.0000
0.0000 0.0000 9.9710
Ca Cr W
4 2 2
Direct
0.0000 0.0000 0.0000
0.0000 0.5000 0.2047
0.5000 0.0000 0.7047
0.5000 0.5000 0.5000
0.0000 0.5000 0.7668
0.5000 0.0000 0.2668
0.0000 0.0000 0.4219
0.5000 0.5000 0.9219

***

Li3VOF6 | Alexandria | PBEsol | optimized geometry; total energy = -251.8 eV for the cell shown; SG = No. 19; raw formation energy = -268 kJ/mol of atoms; M_tot = 0.000 μB per formula unit
1.0
4.9946 0.0000 0.0000
0.0000 5.0307 0.0000
0.0000 0.0000 16.5769
Li V O F
12 4 4 24
Direct
0.1779 0.0148 0.0144
0.2204 0.4550 0.8617
0.2362 0.9965 0.2553
0.2638 0.0035 0.7553
0.2796 0.5450 0.3617
0.3221 0.9852 0.5144
0.6779 0.4852 0.9856
0.7204 0.0450 0.1383
0.7362 0.5035 0.7447
0.7638 0.4965 0.2447
0.7796 0.9550 0.6383
0.8221 0.5148 0.4856
0.2394 0.4810 0.6235
0.2606 0.5190 0.1235
0.7394 0.0190 0.3765
0.7606 0.9810 0.8765
0.0126 0.8565 0.3915
0.4874 0.1435 0.8915
0.5126 0.6435 0.6085
0.9874 0.3565 0.1085
0.0314 0.7515 0.5572
0.0742 0.7345 0.6943
0.0946 0.7988 0.8492
0.1067 0.8659 0.1232
0.1377 0.6062 0.2367
0.1814 0.3441 0.5183
0.3186 0.6559 0.0183
0.3623 0.3938 0.7367
0.3933 0.1341 0.6232
0.4054 0.2012 0.3492
0.4258 0.2655 0.1943
0.4686 0.2485 0.0572
0.5314 0.7485 0.4428
0.5742 0.7655 0.3057
0.5946 0.7012 0.1508
0.6067 0.6341 0.8768
0.6377 0.8938 0.7633
0.6814 0.1559 0.4817
0.8186 0.8441 0.9817
0.8623 0.1062 0.2633
0.8933 0.3659 0.3768
0.9054 0.2988 0.6508
0.9258 0.2345 0.8057
0.9686 0.2515 0.9428

***

BeSiBiOs2 | Alexandria | PBEsol | optimized geometry; total energy = -33.8 eV for the cell shown; SG = No. 123; raw formation energy = 90 kJ/mol of atoms; M_tot = 0.000 μB per formula unit
1.0
4.5076 0.0000 0.0000
0.0000 4.5076 0.0000
0.0000 0.0000 4.1764
Be Si Bi Os
1 1 1 2
Direct
0.0000 0.0000 0.0000
0.0000 0.0000 0.5000
0.5000 0.5000 0.0000
0.0000 0.5000 0.5000
0.5000 0.0000 0.5000

***

Re2TcPt | Alexandria | PBEsol | optimized geometry; total energy = -45.0 eV for the cell shown; energy above the most stable polymorph in this dataset = 0.060 eV/atom; SG = No. 123; formation energy = -25 meV per atom; M_tot = 0.000 μB per formula unit
1.0
2.7212 0.0000 0.0000
0.0000 2.7212 0.0000
0.0000 0.0000 7.8305
Re Tc Pt
2 1 1
Direct
0.0000 0.0000 0.2411
0.0000 0.0000 0.7589
0.5000 0.5000 0.0000
0.5000 0.5000 0.5000

***

ScTl2Ir | Alexandria | PBEsol | optimized geometry; total energy = -86.6 eV for the cell shown; SG = No. 216; formation energy = 13 meV per atom; M_tot = 0.000 μB per formula unit
1.0
6.8334 0.0000 0.0000
0.0000 6.8334 0.0000
0.0000 0.0000 6.8334
Sc Tl Ir
4 8 4
Direct
0.0000 0.0000 0.0000
0.0000 0.5000 0.5000
0.5000 0.0000 0.5000
0.5000 0.5000 0.0000
0.0000 0.0000 0.5000
0.0000 0.5000 0.0000
0.2500 0.2500 0.2500
0.2500 0.7500 0.7500
0.5000 0.0000 0.0000
0.5000 0.5000 0.5000
0.7500 0.2500 0.7500
0.7500 0.7500 0.2500
0.2500 0.2500 0.7500
0.2500 0.7500 0.2500
0.7500 0.2500 0.2500
0.7500 0.7500 0.7500

***

KTaW | Alexandria | PBEsol | optimized geometry; total energy = -48.1 eV for the cell shown; SG = No. 107; formation energy = 1148 meV per atom; M_tot = 0.000 μB per formula unit
1.0
2.7152 0.0000 0.0000
0.0000 2.7152 0.0000
0.0000 0.0000 17.3496
K Ta W
2 2 2
Direct
0.0000 0.0000 0.0000
0.5000 0.5000 0.5000
0.0000 0.0000 0.6938
0.5000 0.5000 0.1938
0.0000 0.0000 0.3235
0.5000 0.5000 0.8235

***

AlOs2Pt | Alexandria | PBEsol | optimized geometry; total energy = -71.8 eV for the cell shown; SG = No. 12; formation energy = -105 meV per atom; M_tot = 0.000 μB per formula unit
1.0
9.0569 0.0000 0.0000
0.0000 2.7289 0.0000
-0.9986 0.0000 4.5657
Al Os Pt
2 4 2
Direct
0.0000 0.0000 0.0000
0.5000 0.5000 0.0000
0.2414 0.5000 0.2427
0.2586 0.0000 0.7573
0.7414 0.0000 0.2427
0.7586 0.5000 0.7573
0.0000 0.5000 0.5000
0.5000 0.0000 0.5000

***

WI2N2 | Alexandria | PBEsol | optimized geometry; total energy = -21.6 eV for the cell shown; SG = No. 123; raw formation energy = 246 kJ/mol of atoms; M_tot = 4.163 μB per formula unit
1.0
4.0085 0.0000 0.0000
0.0000 4.0085 0.0000
0.0000 0.0000 6.9762
W I N
1 2 2
Direct
0.0000 0.0000 0.0000
0.5000 0.5000 0.0000
0.5000 0.5000 0.5000
0.0000 0.5000 0.5000
0.5000 0.0000 0.5000

***

KOs2Cl | Alexandria | PBEsol | optimized geometry; total energy = -46.6 eV for the cell shown; SG = No. 139; raw formation energy = 103 kJ/mol of atoms; M_tot = 0.001 μB per formula unit
1.0
3.6100 0.0000 0.0000
0.0000 3.6100 0.0000
0.0000 0.0000 13.5866
K Os Cl
2 4 2
Direct
0.0000 0.0000 0.0000
0.5000 0.5000 0.5000
0.0000 0.5000 0.2500
0.0000 0.5000 0.7500
0.5000 0.0000 0.2500
0.5000 0.0000 0.7500
0.0000 0.0000 0.5000
0.5000 0.5000 0.0000

***

CoB2Mo2 | Alexandria | PBEsol | optimized geometry; total energy = -96.3 eV for the cell shown; SG = No. 71; formation energy = -572 meV per atom; M_tot = 0.000 μB per formula unit
1.0
3.1428 0.0000 0.0000
0.0000 4.5201 0.0000
0.0000 0.0000 7.0430
Co B Mo
2 4 4
Direct
0.0000 0.0000 0.0000
0.5000 0.5000 0.5000
0.0000 0.2060 0.5000
0.0000 0.7940 0.5000
0.5000 0.2940 0.0000
0.5000 0.7060 0.0000
0.0000 0.5000 0.2006
0.0000 0.5000 0.7994
0.5000 0.0000 0.2994
0.5000 0.0000 0.7006

***

LiVF4 | Alexandria | PBEsol | optimized geometry; total energy = -73.1 eV for the cell shown; energy above the most stable polymorph in this dataset = 0.027 eV/atom; SG = No. 119; raw formation energy = -277 kJ/mol of atoms; M_tot = 2.000 μB per formula unit
1.0
3.8417 0.0000 0.0000
0.0000 3.8417 0.0000
0.0000 0.0000 9.8111
Li V F
2 2 8
Direct
0.0000 0.0000 0.0000
0.5000 0.5000 0.5000
0.0000 0.5000 0.2500
0.5000 0.0000 0.7500
0.0000 0.0000 0.2387
0.0000 0.0000 0.7613
0.0000 0.5000 0.0559
0.0000 0.5000 0.4441
0.5000 0.0000 0.5559
0.5000 0.0000 0.9441
0.5000 0.5000 0.2613
0.5000 0.5000 0.7387

***

CaIrW2 | Alexandria | PBEsol | optimized geometry; total energy = -150.6 eV for the cell shown; energy above the most stable polymorph in this dataset = 0.019 eV/atom; SG = No. 216; formation energy = 480 meV per atom; M_tot = 0.000 μB per formula unit
1.0
6.4108 0.0000 0.0000
0.0000 6.4108 0.0000
0.0000 0.0000 6.4108
Ca Ir W
4 4 8
Direct
0.0000 0.0000 0.0000
0.0000 0.5000 0.5000
0.5000 0.0000 0.5000
0.5000 0.5000 0.0000
0.2500 0.2500 0.2500
0.2500 0.7500 0.7500
0.7500 0.2500 0.7500
0.7500 0.7500 0.2500
0.0000 0.0000 0.5000
0.0000 0.5000 0.0000
0.2500 0.2500 0.7500
0.2500 0.7500 0.2500
0.5000 0.0000 0.0000
0.5000 0.5000 0.5000
0.7500 0.2500 0.2500
0.7500 0.7500 0.7500

***

Zn3Fe | Alexandria | PBEsol | optimized geometry; total energy = -27.4 eV for the cell shown; SG = No. 44; formation energy = -1 meV per atom; M_tot = 1.806 μB per formula unit
1.0
2.5912 0.0000 0.0000
0.0000 8.4796 0.0000
0.0000 0.0000 4.5977
Zn Fe
6 2
Direct
0.0000 0.0000 0.0000
0.0000 0.2456 0.6734
0.0000 0.7544 0.6734
0.5000 0.2544 0.1734
0.5000 0.5000 0.5000
0.5000 0.7456 0.1734
0.0000 0.5000 0.9908
0.5000 0.0000 0.4908